No. 1
Li2Ge4Ir3: relaxed, PBE.

Results
The calculation puts the formation energy at -1.468 eV/f.u. For the density of states at the Fermi level, the calculation gives 19.54 states/eV per cell.

Geometry as CIF:
```
data_Li2Ge4Ir3
_cell_length_a 5.499
_cell_length_b 9.491
_cell_length_c 12.180
_cell_angle_alpha 90.00
_cell_angle_beta 90.00
_cell_angle_gamma 90.00
_space_group_name_H-M_alt 'F m m m'
_space_group_IT_number 69
_space_group_name_Hall '-F 2 2'
loop_
_atom_site_label
_atom_site_type_symbol
_atom_site_fract_x
_atom_site_fract_y
_atom_site_fract_z
Li1 Li 0.000 0.000 0.104
Ge1 Ge 0.000 0.166 0.338
Ir1 Ir 0.000 0.000 0.500
Ir2 Ir 0.250 0.250 0.000
```


No. 2
AcPuSc2: relaxed, PBE.

Results
The calculation puts the formation energy at 0.631 eV/f.u. The calculation puts the energy relative to the lowest polymorph listed for this composition at 0 meV/atom. For the density of states at the Fermi level, the calculation gives 9.16 states/eV per cell.

Geometry as CIF:
```
data_AcPuSc2
_cell_length_a 3.876
_cell_length_b 3.876
_cell_length_c 7.900
_cell_angle_alpha 90.00
_cell_angle_beta 90.00
_cell_angle_gamma 90.00
_space_group_name_H-M_alt 'P 4/m m m'
_space_group_IT_number 123
_space_group_name_Hall '-P 4 2'
loop_
_atom_site_label
_atom_site_type_symbol
_atom_site_fract_x
_atom_site_fract_y
_atom_site_fract_z
Ac1 Ac 0.000 0.000 0.000
Pu1 Pu 0.000 0.000 0.500
Sc1 Sc 0.500 0.500 0.287
```


No. 3
PrAlSn: relaxed, PBE.

Results
The calculation puts the formation energy at -1.674 eV/f.u. For the density of states at the Fermi level, the calculation gives 0.46 states/eV per cell.

Geometry as CIF:
```
data_PrAlSn
_cell_length_a 4.5496
_cell_length_b 4.5496
_cell_length_c 4.3695
_cell_angle_alpha 90.00
_cell_angle_beta 90.00
_cell_angle_gamma 120.00
_space_group_name_H-M_alt 'P 3 m 1'
_space_group_IT_number 156
loop_
_space_group_symop_operation_xyz
'x,y,z'
'-y,x-y,z'
'-x+y,-x,z'
'-y,-x,z'
'-x+y,y,z'
'x,x-y,z'
loop_
_atom_site_label
_atom_site_type_symbol
_atom_site_fract_x
_atom_site_fract_y
_atom_site_fract_z
Pr1 Pr 0.0000 0.0000 0.0000
Al1 Al 0.3333 0.6667 0.5790
Sn1 Sn 0.6667 0.3333 0.4592
```